Compound: LaZn2P
Source: Alexandria via LeMat-Bulk
Functional: PBE-GGA
Structure: relaxed

## Properties
Crystal system   monoclinic
Symmetry   C2/m
E_tot   -3.762 eV/atom

Cell and atoms, written as POSCAR:
```
LaZn2P
1.0
5.867 -2.079 0.000
5.867 2.079 0.000
-1.133 0.000 3.946
La Zn P
1 2 1
Cartesian
0.000 0.000 0.000
2.974 0.000 1.409
7.627 0.000 2.537
5.301 0.000 1.973
```